# 1
DFT (PBE) results for a geometry-optimized NdYBe2Ir2 structure.

Cell: 3.958 3.958 8.148 Å, 90.00 90.00 120.00°
Element x y z (fractional)
Ir (0.667, 0.333, 0.257)
Ir (0.333, 0.667, 0.743)
Y (0.000, 0.000, 0.500)
Nd (0.000, 0.000, 0.000)
Be (0.667, 0.333, 0.739)
Be (0.333, 0.667, 0.261)

## Properties
As for the total energy: -6.682 eV per atom. As for the symmetry: P-3m1 (164). The value obtained for the density of states at the Fermi level is 4.0 states/eV/cell.

=====

# 2
DFT (PBE) results for a geometry-optimized NdBeZn2Ir2 structure.

Cell: 4.287 4.287 5.542 Å, 90.00 90.00 90.00°
Element x y z (fractional)
Zn (0.500, 0.500, 0.272)
Be (0.000, 0.000, 0.000)
Ir (0.000, 0.500, 0.000)
Zn (0.500, 0.500, 0.728)
Ir (0.500, 0.000, 0.000)
Nd (0.000, 0.000, 0.500)

## Properties
As for the total energy: -5.204 eV per atom. As for the symmetry: P4/mmm (123). The value obtained for the density of states at the Fermi level is 3.4 states/eV/cell.

=====

# 3
DFT (PBE) results for a geometry-optimized BeNi2Ir structure.

Cell: 2.619 2.619 6.381 Å, 90.00 90.00 90.00°
Element x y z (fractional)
Be (0.500, 0.500, 0.250)
Ni (0.000, 0.000, 0.457)
Ir (0.500, 0.500, 0.750)
Ni (0.000, 0.000, 0.043)

## Properties
As for the total energy: -6.200 eV per atom. As for the symmetry: P4/mmm (123). The value obtained for the density of states at the Fermi level is 5.4 states/eV/cell.

=====

# 4
DFT (PBE) results for a geometry-optimized BeNi2Ir structure.

Cell: 4.241 4.241 4.241 Å, 128.78 128.78 75.36°
Site moments in Bohr magnetons follow the coordinates.
Element x y z (fractional)
Ni (0.000, 0.000, 0.000)  0.71
Be (0.500, 0.500, 0.000)  -0.01
Ir (0.750, 0.250, 0.500)  0.40
Ni (0.250, 0.750, 0.500)  0.40

## Properties
As for the total energy: -6.180 eV per atom. As for the symmetry: I-4m2 (119). The value obtained for the density of states at the Fermi level is 3.5 states/eV/cell.

=====

# 5
DFT (PBE) results for a geometry-optimized Be2Ni2Ir structure.

Cell: 6.475 6.475 2.519 Å, 90.00 90.00 90.00°
Element x y z (fractional)
Ni (0.127, 0.373, 0.000)
Be (0.671, 0.829, 0.500)
Ir (0.500, 0.500, 0.000)
Ni (0.373, 0.873, 0.000)
Be (0.329, 0.171, 0.500)
Be (0.171, 0.671, 0.500)
Ir (0.000, 0.000, 0.000)
Be (0.829, 0.329, 0.500)
Ni (0.873, 0.627, 0.000)
Ni (0.627, 0.127, 0.000)

## Properties
For the energy above the lowest structure with this stoichiometry, the calculation gives 18.1 kJ/mol of atoms. As for the symmetry: P4/mbm (127). The value obtained for the density of states at the Fermi level is 7.3 states/eV/cell.

=====

# 6
DFT (PBE) results for a geometry-optimized BeNi2Ir structure.

Cell: 2.929 3.776 4.028 Å, 90.00 90.00 90.00°
Site moments in Bohr magnetons follow the coordinates.
Element x y z (fractional)
Be (0.500, 0.000, 0.500)  0.00
Ir (0.000, 0.500, 0.500)  0.08
Ni (0.000, 0.000, 0.000)  0.22
Ni (0.500, 0.500, 0.000)  0.17

## Properties
As for the total energy: -6.216 eV per atom. As for the symmetry: Pmmm (47). The value obtained for the density of states at the Fermi level is 4.4 states/eV/cell.

=====

# 7
DFT (PBE) results for a geometry-optimized Be2Ni2Ir structure.

Cell: 3.775 3.775 4.603 Å, 65.79 65.79 90.00°
Element x y z (fractional)
Ni (0.358, 0.358, 0.285)
Ni (0.642, 0.642, 0.715)
Be (0.250, 0.750, 0.500)
Ir (0.000, 0.000, 0.000)
Be (0.750, 0.250, 0.500)

## Properties
For the energy above the lowest structure with this stoichiometry, the calculation gives 38.0 kJ/mol of atoms. As for the symmetry: I4/mmm (139). The value obtained for the density of states at the Fermi level is 5.0 states/eV/cell.

=====

# 8
DFT (PBE) results for a geometry-optimized BeNi2Ir structure.

Cell: 2.548 2.548 7.798 Å, 90.00 90.00 114.74°
Element x y z (fractional)
Ir (0.500, 0.500, 0.750)
Be (0.500, 0.500, 0.250)
Ni (0.000, 0.000, 0.467)
Ni (0.000, 0.000, 0.033)

## Properties
As for the total energy: -5.988 eV per atom. As for the symmetry: Cmmm (65). The value obtained for the density of states at the Fermi level is 5.9 states/eV/cell.

=====

# 9
DFT (PBE) results for a geometry-optimized BeNi2Ir structure.

Cell: 4.463 4.463 4.252 Å, 70.35 70.35 34.43°
Site moments in Bohr magnetons follow the coordinates.
Element x y z (fractional)
Ir (0.766, 0.766, 0.703)  0.17
Ni (0.993, 0.993, 0.034)  0.34
Be (0.511, 0.511, 0.533)  -0.01
Ni (0.230, 0.230, 0.231)  0.16

## Properties
As for the total energy: -6.203 eV per atom. As for the symmetry: Cm (8). The value obtained for the density of states at the Fermi level is 5.0 states/eV/cell.

=====

# 10
DFT (PBE) results for a geometry-optimized Be3NiIr2 structure.

Cell: 2.822 3.839 6.099 Å, 108.34 90.00 90.00°
Element x y z (fractional)
Ir (0.000, 0.340, 0.681)
Be (0.500, 0.832, 0.664)
Ni (0.000, 0.000, 0.000)
Ir (0.000, 0.660, 0.319)
Be (0.500, 0.500, 0.000)
Be (0.500, 0.168, 0.336)

## Properties
As for the total energy: -6.339 eV per atom. As for the symmetry: Cmmm (65). The value obtained for the density of states at the Fermi level is 3.7 states/eV/cell.

=====

# 11
DFT (PBE) results for a geometry-optimized Be4NiIr structure.

Cell: 4.266 4.266 4.266 Å, 60.00 60.00 60.00°
Element x y z (fractional)
Be (0.375, 0.375, 0.375)
Ir (0.750, 0.750, 0.750)
Be (0.375, 0.375, 0.876)
Ni (0.000, 0.000, 0.000)
Be (0.375, 0.876, 0.375)
Be (0.876, 0.375, 0.375)

## Properties
For the energy above the lowest structure with this stoichiometry, the calculation gives 0.0 kJ/mol of atoms. As for the symmetry: F-43m (216). The value obtained for the density of states at the Fermi level is 2.1 states/eV/cell.

=====

# 12
DFT (PBE) results for a geometry-optimized Be6NiIr structure.

Cell: 4.232 4.232 4.232 Å, 90.00 90.00 90.00°
Element x y z (fractional)
Be (0.500, 0.249, 0.000)
Be (0.751, 0.000, 0.500)
Be (0.500, 0.751, 0.000)
Be (0.000, 0.500, 0.751)
Ir (0.500, 0.500, 0.500)
Be (0.000, 0.500, 0.249)
Be (0.249, 0.000, 0.500)
Ni (0.000, 0.000, 0.000)

## Properties
As for the total energy: -4.808 eV per atom. As for the symmetry: Pm-3 (200). The value obtained for the density of states at the Fermi level is 5.8 states/eV/cell.

=====

# 13
DFT (PBE) results for a geometry-optimized Be2Ni2Ir structure.

Cell: 6.140 6.140 2.703 Å, 90.00 90.00 90.00°
Element x y z (fractional)
Be (0.130, 0.370, 0.000)
Be (0.870, 0.630, 0.000)
Ni (0.665, 0.835, 0.500)
Ni (0.335, 0.165, 0.500)
Ni (0.835, 0.335, 0.500)
Ir (0.500, 0.500, 0.000)
Ir (0.000, 0.000, 0.000)
Be (0.630, 0.130, 0.000)
Be (0.370, 0.870, 0.000)
Ni (0.165, 0.665, 0.500)

## Properties
For the energy above the lowest structure with this stoichiometry, the calculation gives 0.0 kJ/mol of atoms. As for the symmetry: P4/mbm (127). The value obtained for the density of states at the Fermi level is 6.1 states/eV/cell.

=====

# 14
DFT (PBE) results for a geometry-optimized BeNiIr4 structure.

Cell: 5.099 5.099 5.099 Å, 60.00 60.00 60.00°
Site moments in Bohr magnetons follow the coordinates.
Element x y z (fractional)
Ni (0.750, 0.750, 0.750)  0.93
Ir (0.375, 0.375, 0.875)  0.39
Be (0.000, 0.000, 0.000)  -0.02
Ir (0.875, 0.375, 0.375)  0.39
Ir (0.375, 0.375, 0.375)  0.39
Ir (0.375, 0.875, 0.375)  0.39

## Properties
As for the total energy: -6.803 eV per atom. As for the symmetry: F-43m (216). The value obtained for the density of states at the Fermi level is 11.4 states/eV/cell.

=====

# 15
DFT (PBE) results for a geometry-optimized BeNi2Ir structure.

Cell: 2.599 3.595 4.870 Å, 90.00 90.00 90.00°
Element x y z (fractional)
Ni (0.000, 0.000, 0.491)
Be (0.500, 0.500, 0.250)
Ir (0.500, 0.500, 0.750)
Ni (0.000, 0.000, 0.009)

## Properties
As for the total energy: -6.144 eV per atom. As for the symmetry: Pmmm (47). The value obtained for the density of states at the Fermi level is 5.3 states/eV/cell.

=====

# 16
DFT (PBE) results for a geometry-optimized BeNi2Ir structure.

Cell: 3.328 3.328 8.910 Å, 79.23 79.23 90.00°
Element x y z (fractional)
Ni (0.617, 0.125, 0.250)
Ir (0.000, 0.000, 0.000)
Ni (0.875, 0.867, 0.750)
Be (0.250, 0.750, 0.500)
Be (0.500, 0.500, 0.000)
Ir (0.750, 0.250, 0.500)
Ni (0.375, 0.383, 0.750)
Ni (0.133, 0.625, 0.250)

## Properties
As for the total energy: -5.847 eV per atom. As for the symmetry: I-42d (122). The value obtained for the density of states at the Fermi level is 13.4 states/eV/cell.

=====

# 17
DFT (PBE) results for a geometry-optimized BeNi4Ir structure.

Cell: 4.621 4.621 4.621 Å, 60.00 60.00 60.00°
Site moments in Bohr magnetons follow the coordinates.
Element x y z (fractional)
Ni (0.375, 0.874, 0.375)  0.58
Ir (0.000, 0.000, 0.000)  0.56
Ni (0.874, 0.375, 0.375)  0.58
Ni (0.375, 0.375, 0.874)  0.58
Ni (0.375, 0.375, 0.375)  0.58
Be (0.750, 0.750, 0.750)  -0.02

## Properties
As for the total energy: -5.782 eV per atom. As for the symmetry: F-43m (216). The value obtained for the density of states at the Fermi level is 9.7 states/eV/cell.

=====

# 18
DFT (PBE) results for a geometry-optimized Be6Ni5Ir structure.

Cell: 3.741 5.327 5.903 Å, 90.00 71.62 90.00°
Element x y z (fractional)
Be (0.169, 0.747, 0.662)
Be (0.831, 0.253, 0.338)
Be (0.169, 0.253, 0.662)
Ni (0.670, 0.000, 0.660)
Ni (0.332, 0.500, 0.337)
Ni (0.668, 0.500, 0.663)
Ni (0.000, 0.500, 0.000)
Ni (0.330, 0.000, 0.340)
Be (0.500, 0.742, 0.000)
Be (0.831, 0.747, 0.338)
Be (0.500, 0.258, 0.000)
Ir (0.000, 0.000, 0.000)

## Properties
As for the total energy: -5.524 eV per atom. As for the symmetry: P2/m (10). The value obtained for the density of states at the Fermi level is 3.1 states/eV/cell.

=====

# 19
DFT (PBE) results for a geometry-optimized BeNi2Ir structure.

Cell: 2.614 2.614 7.875 Å, 80.45 80.45 60.00°
Site moments in Bohr magnetons follow the coordinates.
Element x y z (fractional)
Ni (0.075, 0.075, 0.776)  0.27
Be (0.666, 0.666, 0.001)  -0.01
Ir (0.500, 0.500, 0.500)  0.34
Ni (0.259, 0.259, 0.223)  0.27

## Properties
As for the total energy: -6.082 eV per atom. As for the symmetry: R3m (160). The value obtained for the density of states at the Fermi level is 5.2 states/eV/cell.

=====

# 20
DFT (PBE) results for a geometry-optimized Be4NiIr structure.

Cell: 2.544 6.583 3.742 Å, 90.00 90.00 90.00°
Element x y z (fractional)
Ni (0.500, 0.500, 0.500)
Be (0.000, 0.784, 0.500)
Be (0.500, 0.692, 0.000)
Be (0.500, 0.308, 0.000)
Be (0.000, 0.216, 0.500)
Ir (0.000, 0.000, 0.000)

## Properties
For the energy above the lowest structure with this stoichiometry, the calculation gives 32.3 kJ/mol of atoms. As for the symmetry: Pmmm (47). The value obtained for the density of states at the Fermi level is 3.0 states/eV/cell.